Ho4Nb | PBE-GGA | optimized geometry

```
Ho4Nb
1.0
-4.972 0.557 2.136
-1.225 -5.076 -1.528
1.836 -1.877 4.764
Ho Nb
4 1
Direct
0.000 0.500 0.500
0.500 0.500 0.000
0.000 0.000 0.000
0.500 0.000 0.500
0.500 0.500 0.500
```

Output
calculated volume	32.20	Å³/atom
energy of formation from the pure elements	0.50	eV per atom

***

Nd2HoNb | PBE-GGA | optimized geometry

```
Nd2HoNb
1.0
3.360 0.000 0.000
1.680 2.910 0.000
1.680 0.970 11.764
Nb Nd Ho
1 2 1
Direct
0.000 0.000 0.000
0.083 0.083 0.752
0.917 0.917 0.248
0.500 0.500 0.500
```

Output
calculated volume	28.76	Å³/atom
energy of formation from the pure elements	0.57	eV per atom